Record 1
Computed, not measured: a relaxed Dy5Si3 crystal at the PBE-GGA level of DFT.

It has space group P6_3/mcm (No. 193), with a = 8.4433 Å, b = 8.4433 Å, c = 6.3691 Å, α = 90.00°, β = 90.00° and γ = 120.00°. The distinct sites, in fractional coordinates, are Dy at (0.0000, 0.2431, 0.2500), Dy at (0.3333, 0.6667, 0.0000) and Si at (0.0000, 0.3945, 0.7500).

The calculation puts the uncorrected formation energy at -685 meV per atom. The calculation puts the total magnetization at 0.000 μB per atom. Its excess energy over the best structure of this formula in the dataset is 0 meV per atom. For the density of states at the Fermi level, the calculation gives 0.72 states/eV/atom.

Record 2
Computed, not measured: a relaxed DySi2 crystal at the PBE-GGA level of DFT.

It has space group P6/mmm (No. 191), with a = 4.0812 Å, b = 4.0812 Å, c = 3.9628 Å, α = 90.00°, β = 90.00° and γ = 120.00°. The distinct sites, in fractional coordinates, are Dy at (0.0000, 0.0000, 0.0000) and Si at (0.3333, 0.6667, 0.5000).

The calculation puts the uncorrected formation energy at -521 meV per atom. The calculation puts the total magnetization at 0.000 μB per atom. For the density of states at the Fermi level, the calculation gives 0.57 states/eV/atom.

Record 3
Computed, not measured: a relaxed DySi3 crystal at the PBE-GGA level of DFT.

It has space group Pm-3m (No. 221), with a = 4.143 Å, b = 4.143 Å, c = 4.143 Å, α = 90.00°, β = 90.00° and γ = 90.00°. The distinct sites, in fractional coordinates, are Dy at (0.000, 0.000, 0.000) and Si at (0.000, 0.500, 0.500).

The calculation puts the uncorrected formation energy at -184 meV per atom. The calculation puts the total magnetization at 0.000 μB per atom. For the density of states at the Fermi level, the calculation gives 0.64 states/eV/atom.

Record 4
Computed, not measured: a relaxed Dy4Si crystal at the PBE-GGA level of DFT.

It has space group Pm-3m (No. 221), with a = 5.475 Å, b = 5.475 Å, c = 5.475 Å, α = 90.00°, β = 90.00° and γ = 90.00°. The distinct sites, in fractional coordinates, are Dy at (0.000, 0.000, 0.000), Dy at (0.000, 0.500, 0.500) and Si at (0.500, 0.500, 0.500).

The calculation puts the uncorrected formation energy at 21 meV per atom. The calculation puts the total magnetization at 0.079 μB per atom. For the density of states at the Fermi level, the calculation gives 1.96 states/eV/atom.

Record 5
Computed, not measured: a relaxed DySi2 crystal at the PBE-GGA level of DFT.

It has space group C2/m (No. 12), with a = 5.638 Å, b = 5.828 Å, c = 4.094 Å, α = 90.00°, β = 111.89° and γ = 90.00°. The distinct sites, in fractional coordinates, are Dy at (0.000, 0.000, 0.000) and Si at (0.109, 0.500, 0.300).

The calculation puts the uncorrected formation energy at -352 meV per atom. The calculation puts the total magnetization at 0.000 μB per atom. For the density of states at the Fermi level, the calculation gives 0.36 states/eV/atom.

Record 6
Computed, not measured: a relaxed DySi crystal at the PBE-GGA level of DFT.

It has space group Cmcm (No. 63), with a = 4.281 Å, b = 10.540 Å, c = 3.835 Å, α = 90.00°, β = 90.00° and γ = 90.00°. The distinct sites, in fractional coordinates, are Dy at (0.000, 0.140, 0.250) and Si at (0.000, 0.424, 0.250).

The calculation puts the uncorrected formation energy at -830 meV per atom. The calculation puts the total magnetization at 0.000 μB per atom. For the density of states at the Fermi level, the calculation gives 0.62 states/eV/atom.

Record 7
Computed, not measured: a relaxed DySi2 crystal at the PBE-GGA level of DFT.

It has space group P2_1/m (No. 11), with a = 3.883 Å, b = 3.776 Å, c = 8.417 Å, α = 90.00°, β = 103.30° and γ = 90.00°. The distinct sites, in fractional coordinates, are Dy at (0.106, 0.250, 0.213), Si at (0.254, 0.750, 0.505) and Si at (0.457, 0.250, 0.913).

The calculation puts the uncorrected formation energy at -495 meV per atom. The calculation puts the total magnetization at 0.000 μB per atom. For the density of states at the Fermi level, the calculation gives 0.56 states/eV/atom.

Record 8
Computed, not measured: a relaxed Dy3Si2 crystal at the PBE-GGA level of DFT.

It has space group Immm (No. 71), with a = 4.332 Å, b = 6.262 Å, c = 8.715 Å, α = 90.00°, β = 90.00° and γ = 90.00°. The distinct sites, in fractional coordinates, are Dy at (0.000, 0.000, 0.000), Dy at (0.000, 0.500, 0.200) and Si at (0.000, 0.197, 0.500).

The calculation puts the uncorrected formation energy at -640 meV per atom. The calculation puts the total magnetization at 0.000 μB per atom. For the density of states at the Fermi level, the calculation gives 0.71 states/eV/atom.

Record 9
Computed, not measured: a relaxed Dy3Si crystal at the PBE-GGA level of DFT.

It has space group Pm-3m (No. 221), with a = 4.625 Å, b = 4.625 Å, c = 4.625 Å, α = 90.00°, β = 90.00° and γ = 90.00°. The distinct sites, in fractional coordinates, are Dy at (0.000, 0.000, 0.500) and Si at (0.500, 0.500, 0.500).

The calculation puts the uncorrected formation energy at -259 meV per atom. The calculation puts the total magnetization at 0.000 μB per atom. Its excess energy over the best structure of this formula in the dataset is 44 meV per atom. For the density of states at the Fermi level, the calculation gives 0.92 states/eV/atom.

Record 10
Computed, not measured: a relaxed DySi2 crystal at the PBE-GGA level of DFT.

It has space group Fd-3m (No. 227, origin choice 2), with a = 7.519 Å, b = 7.519 Å, c = 7.519 Å, α = 90.00°, β = 90.00° and γ = 90.00°. The distinct sites, in fractional coordinates, are Dy at (0.125, 0.125, 0.125) and Si at (0.000, 0.000, 0.500).

The calculation puts the uncorrected formation energy at -304 meV per atom. The calculation puts the total magnetization at 0.000 μB per atom. For the density of states at the Fermi level, the calculation gives 0.71 states/eV/atom.

Record 11
Computed, not measured: a relaxed Dy3Si crystal at the PBE-GGA level of DFT.

It has space group Pmm2 (No. 25), with a = 3.962 Å, b = 3.966 Å, c = 7.508 Å, α = 90.00°, β = 90.00° and γ = 90.00°. The distinct sites, in fractional coordinates, are Dy at (0.000, 0.000, 0.000), Dy at (0.000, 0.500, 0.350), Dy at (0.500, 0.500, 0.699) and Si at (0.500, 0.000, 0.350).

The calculation puts the uncorrected formation energy at -75 meV per atom. The calculation puts the total magnetization at 0.147 μB per atom. Its excess energy over the best structure of this formula in the dataset is 228 meV per atom. For the density of states at the Fermi level, the calculation gives 1.09 states/eV/atom.

Record 12
Computed, not measured: a relaxed Dy5Si3 crystal at the PBE-GGA level of DFT.

It has space group I4/mcm (No. 140), with a = 7.525 Å, b = 7.525 Å, c = 13.559 Å, α = 90.00°, β = 90.00° and γ = 90.00°. The distinct sites, in fractional coordinates, are Dy at (0.000, 0.000, 0.000), Dy at (0.172, 0.328, 0.145), Si at (0.000, 0.000, 0.250) and Si at (0.123, 0.377, 0.500).

The calculation puts the uncorrected formation energy at -643 meV per atom. The calculation puts the total magnetization at 0.000 μB per atom. Its excess energy over the best structure of this formula in the dataset is 41 meV per atom. For the density of states at the Fermi level, the calculation gives 1.03 states/eV/atom.

Question: Look up the uncorrected formation energy of the fifth one.
Answer: -352 meV per atom